1.
Entry from Alexandria: a relaxed structure of BeCrFe2 (GGA-PBE).

```
BeCrFe2
1.0
2.735 0.000 0.000
0.000 2.736 0.000
0.000 0.000 5.288
Fe Cr Be
2 1 1
direct
0.000 0.000 0.487 Fe
0.000 0.000 0.013 Fe
0.500 0.500 0.750 Cr
0.500 0.500 0.250 Be
```

The energy of formation from the pure elements is -0.32 eV/f.u. As for the crystal system: tetragonal.

2.
Entry from Alexandria: a relaxed structure of TmZn6Pd2 (GGA-PBE).

```
TmZn6Pd2
1.0
3.561 0.000 0.000
1.781 7.015 1.317
1.781 2.675 6.617
Tm Pd Zn
1 2 6
direct
0.000 0.000 0.000 Tm
0.129 0.371 0.371 Pd
0.871 0.629 0.629 Pd
0.316 0.374 0.993 Zn
0.684 0.626 0.007 Zn
0.500 0.326 0.674 Zn
0.316 0.993 0.374 Zn
0.500 0.674 0.326 Zn
0.684 0.007 0.626 Zn
```

The energy of formation from the pure elements is -2.68 eV/f.u. As for the crystal system: orthorhombic.

3.
Entry from Alexandria: a relaxed structure of Li2TeAu (GGA-PBE).

```
Li2TeAu
1.0
7.562 0.000 0.000
0.000 7.562 0.000
3.781 3.781 2.930
Au Li Te
2 4 2
direct
0.000 0.000 0.000 Au
0.750 0.250 0.500 Au
0.638 0.125 0.250 Li
0.875 0.888 0.750 Li
0.375 0.362 0.750 Li
0.112 0.625 0.250 Li
0.500 0.500 0.000 Te
0.250 0.750 0.500 Te
```

The relative energy among the computed polymorphs comes out at 0.41 eV per formula unit. The energy relative to the elements, uncorrected comes out at -0.4944 eV per atom. As for the crystal system: tetragonal.

4.
Entry from Alexandria: a relaxed structure of BaCa2Ru (GGA-PBE).

```
BaCa2Ru
1.0
11.164 -0.021 -0.012
10.517 3.747 -0.012
10.517 1.807 3.282
Ca Ba Ru
2 1 1
direct
0.528 0.528 0.528 Ca
0.972 0.972 0.972 Ca
0.750 0.750 0.750 Ba
0.250 0.250 0.250 Ru
```

The relative energy among the computed polymorphs comes out at 0.63 eV per formula unit. The energy of formation from the pure elements is 1.56 eV/f.u. As for the crystal system: trigonal.

no.,V (Å³/atom),final energy (eV per atom)
1,9.90,-7.649
2,16.97,-2.797
3,20.94,-3.056
4,34.63,-3.410